A plane-wave DFT calculation with PBE-GGA was carried out for an optimized crystal structure of LaAgOs2O8.

**Uncorrected formation energy**: -1.227 eV/atom
**Density of states at the Fermi level**: 1.550 states/eV/f.u.

a b c (Å): 6.1489 6.1489 6.8776
angles (deg): 90.00 90.00 120.00
Closest atoms and distances in Å follow each position.
Space group P-3m1 (No. 164)
Unique sites:
La 0.0000 0.0000 0.0000  6 O 2.40
Ag 0.0000 0.0000 0.5000  6 O 2.63
Os 0.3333 0.6667 0.3161  4 O 1.76-1.83
O 0.1720 0.3440 0.2251  1 Os 1.83
O 0.3333 0.6667 0.5714  1 Os 1.76